1.
DFT (PBE) results for SrLiTmIr after structural relaxation.

Geometry as CIF:
```
data_SrLiTmIr
_symmetry_space_group_name_H-M 'F -4 3 m'
_symmetry_Int_Tables_number 216
_symmetry_space_group_name_Hall 'F -4 2 3'
_cell_length_a 7.124
_cell_length_b 7.124
_cell_length_c 7.124
_cell_angle_alpha 90.00
_cell_angle_beta 90.00
_cell_angle_gamma 90.00
loop_
_atom_site_label
_atom_site_type_symbol
_atom_site_fract_x
_atom_site_fract_y
_atom_site_fract_z
Sr1 Sr 0.000 0.000 0.000
Li1 Li 0.250 0.250 0.750
Tm1 Tm 0.000 0.000 0.500
Ir1 Ir 0.250 0.250 0.250
```

Computed properties:
energy of formation from the pure elements	-252	meV per atom
E	-4.48	eV per atom
density of states at the Fermi level	0.538	states/eV per atom
crystal system	cubic

2.
DFT (PBE) results for Mg2Sn after structural relaxation.

Geometry as CIF:
```
data_Mg2Sn
_symmetry_space_group_name_H-M 'R 3 2'
_symmetry_Int_Tables_number 155
_symmetry_space_group_name_Hall 'R 3 2"'
_cell_length_a 5.6821
_cell_length_b 5.6821
_cell_length_c 15.2990
_cell_angle_alpha 90.00
_cell_angle_beta 90.00
_cell_angle_gamma 120.00
loop_
_atom_site_label
_atom_site_type_symbol
_atom_site_fract_x
_atom_site_fract_y
_atom_site_fract_z
Mg1 Mg 0.0000 0.0000 0.0000
Mg2 Mg 0.0000 0.3406 0.5000
Sn1 Sn 0.0000 0.0000 0.3396
```

Computed properties:
energy of formation from the pure elements	-69	meV per atom
E	-2.47	eV per atom
density of states at the Fermi level	0.421	states/eV per atom
crystal system	trigonal

3.
DFT (PBE) results for Tb6Cu23 after structural relaxation.

Geometry as CIF:
```
data_Tb6Cu23
_symmetry_space_group_name_H-M 'F m -3 m'
_symmetry_Int_Tables_number 225
_symmetry_space_group_name_Hall '-F 4 2 3'
_cell_length_a 12.196
_cell_length_b 12.196
_cell_length_c 12.196
_cell_angle_alpha 90.00
_cell_angle_beta 90.00
_cell_angle_gamma 90.00
loop_
_atom_site_label
_atom_site_type_symbol
_atom_site_fract_x
_atom_site_fract_y
_atom_site_fract_z
Tb1 Tb 0.000 0.000 0.216
Cu1 Cu 0.000 0.000 0.500
Cu2 Cu 0.000 0.250 0.250
Cu3 Cu 0.123 0.123 0.377
Cu4 Cu 0.173 0.173 0.173
```

Computed properties:
energy of formation from the pure elements	-193	meV per atom
E	-4.40	eV per atom
density of states at the Fermi level	0.619	states/eV per atom
crystal system	cubic

4.
DFT (PBE) results for NaNiPtBr2 after structural relaxation.

Geometry as CIF:
```
data_NaNiPtBr2
_symmetry_space_group_name_H-M 'P 4/m m m'
_symmetry_Int_Tables_number 123
_symmetry_space_group_name_Hall '-P 4 2'
_cell_length_a 4.739
_cell_length_b 4.739
_cell_length_c 5.111
_cell_angle_alpha 90.00
_cell_angle_beta 90.00
_cell_angle_gamma 90.00
loop_
_atom_site_label
_atom_site_type_symbol
_atom_site_fract_x
_atom_site_fract_y
_atom_site_fract_z
Na1 Na 0.000 0.000 0.000
Ni1 Ni 0.000 0.000 0.500
Pt1 Pt 0.500 0.500 0.000
Br1 Br 0.000 0.500 0.500
```

Computed properties:
E	-2.84	eV per atom
density of states at the Fermi level	1.003	states/eV per atom
uncorrected formation energy	457	meV per atom
crystal system	tetragonal

5.
DFT (PBE) results for KYC after structural relaxation.

Geometry as CIF:
```
data_KYC
_symmetry_space_group_name_H-M 'P 1'
_symmetry_Int_Tables_number 1
_cell_length_a 3.689
_cell_length_b 4.262
_cell_length_c 14.113
_cell_angle_alpha 84.78
_cell_angle_beta 82.66
_cell_angle_gamma 64.47
loop_
_symmetry_equiv_pos_as_xyz
'x,y,z'
loop_
_atom_site_label
_atom_site_type_symbol
_atom_site_fract_x
_atom_site_fract_y
_atom_site_fract_z
K1 K 0.000 0.000 0.000
K2 K 0.377 0.507 0.695
Y1 Y 0.235 0.080 0.437
Y2 Y 0.602 0.523 0.258
C1 C 0.851 0.960 0.323
C2 C 0.987 0.643 0.372
```

Computed properties:
energy of formation from the pure elements	-66	meV per atom
E	-5.66	eV per atom
polymorph energy (0 for the lowest one)	1	meV per atom
density of states at the Fermi level	0.565	states/eV per atom
crystal system	triclinic

6.
DFT (PBE) results for MgHgSb2I after structural relaxation.

Geometry as CIF:
```
data_MgHgSb2I
_symmetry_space_group_name_H-M 'P 4/m m m'
_symmetry_Int_Tables_number 123
_symmetry_space_group_name_Hall '-P 4 2'
_cell_length_a 5.540
_cell_length_b 5.540
_cell_length_c 6.230
_cell_angle_alpha 90.00
_cell_angle_beta 90.00
_cell_angle_gamma 90.00
loop_
_atom_site_label
_atom_site_type_symbol
_atom_site_fract_x
_atom_site_fract_y
_atom_site_fract_z
Mg1 Mg 0.000 0.000 0.000
Hg1 Hg 0.500 0.500 0.500
Sb1 Sb 0.000 0.500 0.500
I1 I 0.500 0.500 0.000
```

Computed properties:
E	-1.74	eV per atom
polymorph energy (0 for the lowest one)	258	meV per atom
density of states at the Fermi level	0.706	states/eV per atom
uncorrected formation energy	594	meV per atom
crystal system	tetragonal

7.
DFT (PBE) results for LaBiS2N after structural relaxation.

Geometry as CIF:
```
data_LaBiS2N
_symmetry_space_group_name_H-M 'P 4/m m m'
_symmetry_Int_Tables_number 123
_symmetry_space_group_name_Hall '-P 4 2'
_cell_length_a 5.585
_cell_length_b 5.585
_cell_length_c 4.142
_cell_angle_alpha 90.00
_cell_angle_beta 90.00
_cell_angle_gamma 90.00
loop_
_atom_site_label
_atom_site_type_symbol
_atom_site_fract_x
_atom_site_fract_y
_atom_site_fract_z
La1 La 0.000 0.000 0.000
Bi1 Bi 0.500 0.500 0.500
S1 S 0.000 0.500 0.000
N1 N 0.000 0.000 0.500
```

Computed properties:
E	-5.00	eV per atom
polymorph energy (0 for the lowest one)	247	meV per atom
density of states at the Fermi level	0.917	states/eV per atom
uncorrected formation energy	73	meV per atom
crystal system	tetragonal

8.
DFT (PBE) results for RbBaPCl2 after structural relaxation.

Geometry as CIF:
```
data_RbBaPCl2
_symmetry_space_group_name_H-M 'P 4/m m m'
_symmetry_Int_Tables_number 123
_symmetry_space_group_name_Hall '-P 4 2'
_cell_length_a 5.785
_cell_length_b 5.785
_cell_length_c 5.697
_cell_angle_alpha 90.00
_cell_angle_beta 90.00
_cell_angle_gamma 90.00
loop_
_atom_site_label
_atom_site_type_symbol
_atom_site_fract_x
_atom_site_fract_y
_atom_site_fract_z
Rb1 Rb 0.000 0.000 0.000
Ba1 Ba 0.500 0.500 0.500
P1 P 0.000 0.000 0.500
Cl1 Cl 0.000 0.500 0.000
```

Computed properties:
E	-3.10	eV per atom
polymorph energy (0 for the lowest one)	440	meV per atom
density of states at the Fermi level	1.051	states/eV per atom
uncorrected formation energy	-706	meV per atom
crystal system	tetragonal

9.
DFT (PBE) results for ZrNpBiO6 after structural relaxation.

Geometry as CIF:
```
data_ZrNpBiO6
_symmetry_space_group_name_H-M 'P -3 1 c'
_symmetry_Int_Tables_number 163
_symmetry_space_group_name_Hall '-P 3 2c'
_cell_length_a 5.6959
_cell_length_b 5.6959
_cell_length_c 9.7314
_cell_angle_alpha 90.00
_cell_angle_beta 90.00
_cell_angle_gamma 120.00
loop_
_atom_site_label
_atom_site_type_symbol
_atom_site_fract_x
_atom_site_fract_y
_atom_site_fract_z
Zr1 Zr 0.3333 0.6667 0.2500
Np1 Np 0.3333 0.6667 0.7500
Bi1 Bi 0.0000 0.0000 0.0000
O1 O 0.0018 0.3556 0.1375
```

Computed properties:
E	-8.65	eV per atom
density of states at the Fermi level	0.801	states/eV per atom
uncorrected formation energy	-2524	meV per atom
crystal system	trigonal

Repeat the fifth record exactly.
DFT (PBE) results for KYC after structural relaxation.

Geometry as CIF:
```
data_KYC
_symmetry_space_group_name_H-M 'P 1'
_symmetry_Int_Tables_number 1
_cell_length_a 3.689
_cell_length_b 4.262
_cell_length_c 14.113
_cell_angle_alpha 84.78
_cell_angle_beta 82.66
_cell_angle_gamma 64.47
loop_
_symmetry_equiv_pos_as_xyz
'x,y,z'
loop_
_atom_site_label
_atom_site_type_symbol
_atom_site_fract_x
_atom_site_fract_y
_atom_site_fract_z
K1 K 0.000 0.000 0.000
K2 K 0.377 0.507 0.695
Y1 Y 0.235 0.080 0.437
Y2 Y 0.602 0.523 0.258
C1 C 0.851 0.960 0.323
C2 C 0.987 0.643 0.372
```

Computed properties:
energy of formation from the pure elements	-66	meV per atom
E	-5.66	eV per atom
polymorph energy (0 for the lowest one)	1	meV per atom
density of states at the Fermi level	0.565	states/eV per atom
crystal system	triclinic